Record 1
Computed, not measured: a relaxed structure of SrCaAg at the PBEsol level of DFT.

abc: 7.2366 7.2356 3.7976
angles: 74.80 74.77 30.43
Element x y z (fractional)
Sr 0.0000 0.0000 0.0000
Ca 0.7310 0.7310 0.2690
Ag 0.3536 0.3536 0.6464

Values from the calculation:
Symmetry   Fmm2
Energy relative to the elements   -3.9 kcal/mol of atoms
Total DFT energy (no corrections)   -7.797 eV/cell
DOS(E_F)   2.6 states/eV/cell

***

Record 2
Computed, not measured: a relaxed structure of Ta7Mo at the PBEsol level of DFT.

abc: 4.6010 4.6010 6.5365
angles: 90.00 90.00 90.00
Element x y z (fractional)
Ta 0.0000 0.0000 0.0000
Ta 0.0000 0.0000 0.5000
Ta 0.0000 0.5000 0.2443
Ta 0.0000 0.5000 0.7557
Ta 0.5000 0.0000 0.2443
Ta 0.5000 0.0000 0.7557
Ta 0.5000 0.5000 0.5000
Mo 0.5000 0.5000 0.0000

Values from the calculation:
Symmetry   P4/mmm
Energy relative to the elements   -0.8 kcal/mol of atoms
Total DFT energy (no corrections)   -99.905 eV/cell
DOS(E_F)   9.6 states/eV/cell

***

Record 3
Computed, not measured: a relaxed structure of Y2WAu at the PBEsol level of DFT.

abc: 3.7918 3.7918 6.1117
angles: 90.00 90.00 90.00
Element x y z (fractional)
Y 0.0000 0.0000 0.0000
Y 0.5000 0.5000 0.3379
W 0.5000 0.5000 0.8144
Au 0.0000 0.0000 0.5351

Values from the calculation:
Symmetry   P4mm
Energy relative to the elements   6.7 kcal/mol of atoms
Total DFT energy (no corrections)   -30.206 eV/cell
DOS(E_F)   3.6 states/eV/cell

***

Record 4
Computed, not measured: a relaxed structure of KBeW2 at the PBEsol level of DFT.

abc: 2.7182 2.7182 9.3371
angles: 90.00 90.00 99.56
Element x y z (fractional)
K 0.0000 0.0000 0.0000
Be 0.0000 0.0000 0.5000
W 0.5000 0.5000 0.3298
W 0.5000 0.5000 0.6702

Values from the calculation:
Symmetry   Cmmm
Energy relative to the elements   21.8 kcal/mol of atoms
Total DFT energy (no corrections)   -28.973 eV/cell
DOS(E_F)   2.6 states/eV/cell